Record 1
Material: Cr2Si2Br
Method: DFT, PBE
State: relaxed

Lattice parameters (Å, degrees): 4.4765 4.4765 8.9345 90.00 90.00 90.00
Last column: nearest neighbours and their distance in Å.
Space group I4/mmm (No. 139)
Symmetry-distinct sites (fractional):
Cr (0.0000, 0.5000, 0.2500)  4 Si 2.47
Si (0.0000, 0.0000, 0.1324)  1 Si 2.37, 4 Cr 2.47
Br (0.0000, 0.0000, 0.5000)  8 Cr 3.16, 10 Si 3.28-3.38

Summary:
final energy: -5.96 eV per atom



Record 2
Material: CrSiBr2
Method: DFT, PBE
State: relaxed

Lattice parameters (Å, degrees): 3.2866 3.2866 26.7470 90.00 90.00 120.00
Last column: nearest neighbours and their distance in Å.
Space group R3m (No. 160, hexagonal axes)
Symmetry-distinct sites (fractional):
Cr (0.0000, 0.0000, 0.0000)  3 Si 2.47, 3 Br 2.47
Si (0.0000, 0.0000, 0.2742)  3 Cr 2.47, 3 Br 2.70
Br (0.0000, 0.0000, 0.5358)  3 Si 2.70
Br (0.0000, 0.0000, 0.7259)  3 Cr 2.47

Summary:
polymorph energy (0 for the lowest one): 0.60 eV/f.u.



Record 3
Material: CrSiBr2
Method: DFT, PBE
State: relaxed

Lattice parameters (Å, degrees): 3.4259 3.7362 15.6141 90.00 90.00 90.00
Last column: nearest neighbours and their distance in Å.
Space group Immm (No. 71)
Symmetry-distinct sites (fractional):
Cr (0.0000, 0.0000, 0.0000)  4 Si 2.53, 4 Br 2.74
Si (0.0000, 0.0000, 0.5000)  4 Cr 2.53
Br (0.0000, 0.5000, 0.3627)  2 Cr 2.74, 2 Si 2.84

Summary:
polymorph energy (0 for the lowest one): 0.53 eV/f.u.



Record 4
Material: CrSiBr2
Method: DFT, PBE
State: relaxed

Lattice parameters (Å, degrees): 3.3320 3.3320 8.1860 90.00 90.00 90.00
Last column: nearest neighbours and their distance in Å.
Space group P4/mmm (No. 123)
Symmetry-distinct sites (fractional):
Cr (0.0000, 0.0000, 0.0000)  8 Br 2.90
Si (0.0000, 0.0000, 0.5000)  4 Si 3.33, 8 Br 3.36
Br (0.5000, 0.5000, 0.2069)  4 Cr 2.90

Summary:
polymorph energy (0 for the lowest one): 2.22 eV/f.u.



Record 5
Material: CrSi2Br
Method: DFT, PBE
State: relaxed

Lattice parameters (Å, degrees): 3.0741 3.0741 7.6173 90.00 90.00 90.00
Last column: nearest neighbours and their distance in Å.
Space group P4mm (No. 99)
Symmetry-distinct sites (fractional):
Cr (0.0000, 0.0000, 0.0000)  5 Si 2.50-2.56, 4 Br 2.76
Si (0.0000, 0.0000, 0.3366)  4 Si 2.55, 1 Cr 2.56
Si (0.5000, 0.5000, 0.1627)  4 Cr 2.50, 4 Si 2.55
Br (0.5000, 0.5000, 0.7776)  4 Cr 2.76, 1 Si 2.93, 4 Br 3.07

Summary:
polymorph energy (0 for the lowest one): 0.84 eV/f.u.



Record 6
Material: CrSiBr2
Method: DFT, PBE
State: relaxed

Lattice parameters (Å, degrees): 7.0534 7.0534 7.0534 90.00 90.00 90.00
Last column: nearest neighbours and their distance in Å.
Space group F-43m (No. 216)
Symmetry-distinct sites (fractional):
Cr (0.0000, 0.0000, 0.0000)  4 Br 3.05, 4 Si 3.05
Si (0.2500, 0.2500, 0.7500)  4 Cr 3.05, 4 Br 3.05
Br (0.0000, 0.0000, 0.5000)  4 Si 3.05, 4 Br 3.05
Br (0.2500, 0.2500, 0.2500)  4 Cr 3.05, 4 Br 3.05

Summary:
polymorph energy (0 for the lowest one): 3.20 eV/f.u.